Material: MgZrOs
Method: DFT, GGA-PBE
State: relaxed

```
MgZrOs
1.0
-2.707 2.245 -2.973
-1.871 -2.434 3.432
0.075 2.361 1.715
Mg Os Zr
1 1 1
direct
0.000 0.000 0.043 Mg
0.667 0.333 0.331 Os
0.333 0.667 0.626 Zr
```

Properties
space group	No. 156
spin magnetization	0.00	μB per cell
uncorrected energy	-7.18	eV/atom
energy of formation from the pure elements	-0.18	eV per formula unit

Material: LiZrAlPt
Method: DFT, GGA-PBE
State: relaxed

```
LiZrAlPt
1.0
4.499 0.000 0.000
2.250 3.896 0.000
2.250 1.299 3.674
Li Zr Pt Al
1 1 1 1
direct
0.250 0.250 0.250 Li
0.500 0.500 0.500 Zr
0.750 0.750 0.750 Pt
0.000 0.000 0.000 Al
```

Properties
space group	No. 216
spin magnetization	0.00	μB per cell
uncorrected energy	-5.95	eV/atom
energy of formation from the pure elements	-3.54	eV per formula unit

Material: NdAgH8Ir2
Method: DFT, GGA-PBE
State: relaxed

```
NdAgH8Ir2
1.0
4.490 0.000 0.000
2.245 4.363 0.142
2.245 1.804 5.653
Nd Ag H Ir
1 1 8 2
direct
0.500 0.500 0.500 Nd
0.000 0.000 0.000 Ag
0.920 0.500 0.660 H
0.740 0.408 0.112 H
0.080 0.500 0.340 H
0.260 0.592 0.888 H
0.555 0.044 0.332 H
0.445 0.956 0.668 H
0.069 0.044 0.332 H
0.931 0.956 0.668 H
0.279 0.287 0.155 Ir
0.721 0.713 0.845 Ir
```

Properties
space group	No. 12
spin magnetization	0.00	μB per cell
uncorrected energy	-4.48	eV/atom

Material: Al2GeBiSe
Method: DFT, GGA-PBE
State: relaxed

```
Al2GeBiSe
1.0
4.927 0.000 0.000
0.000 5.209 0.000
0.000 0.000 4.927
Ge Bi Se Al
1 1 1 2
direct
0.000 0.000 0.000 Ge
0.500 0.500 0.500 Bi
0.000 0.500 0.000 Se
0.000 0.000 0.500 Al
0.500 0.000 0.000 Al
```

Properties
space group	No. 123
E_form (uncorrected)	0.350	eV per atom
spin magnetization	0.00	μB per cell
uncorrected energy	-3.54	eV/atom

Material: YSc2TeBr
Method: DFT, GGA-PBE
State: relaxed

```
YSc2TeBr
1.0
4.947 0.000 0.000
0.000 5.466 0.000
0.000 0.000 4.947
Y Sc Te Br
1 2 1 1
direct
0.000 0.500 0.000 Y
0.000 0.000 0.500 Sc
0.500 0.000 0.000 Sc
0.500 0.500 0.500 Te
0.000 0.000 0.000 Br
```

Properties
space group	No. 123
E_form (uncorrected)	-0.204	eV per atom
spin magnetization	0.00	μB per cell
uncorrected energy	-4.99	eV/atom

Material: Na4Pu3SbS8
Method: DFT, GGA-PBE
State: relaxed

```
Na4Pu3SbS8
1.0
8.089 0.000 0.000
0.000 8.103 -0.001
-4.045 -4.040 5.723
Na Pu Sb S
4 3 1 8
direct
0.500 0.000 0.000 Na
0.500 0.000 0.500 Na
0.000 0.000 0.000 Na
0.000 0.000 0.500 Na
0.500 0.500 0.000 Pu
0.500 0.500 0.500 Pu
0.000 0.500 0.500 Pu
0.000 0.500 0.000 Sb
0.242 0.727 0.985 S
0.242 0.727 0.485 S
0.258 0.276 0.517 S
0.743 0.727 0.985 S
0.257 0.273 0.015 S
0.742 0.724 0.483 S
0.758 0.273 0.515 S
0.758 0.273 0.015 S
```

Properties
space group	No. 166
E_form (uncorrected)	-1.319	eV per atom
spin magnetization	15.00	μB per cell
uncorrected energy	-6.66	eV/atom

Material: CdP4N7
Method: DFT, GGA-PBE
State: relaxed

```
CdP4N7
1.0
4.686 0.000 0.000
0.000 4.992 0.000
0.000 0.000 12.279
Cd P N
2 8 14
direct
0.632 0.859 0.500 Cd
0.132 0.141 0.000 Cd
0.594 0.672 0.881 P
0.067 0.822 0.248 P
0.567 0.178 0.252 P
0.094 0.328 0.619 P
0.094 0.328 0.381 P
0.594 0.672 0.119 P
0.067 0.822 0.752 P
0.567 0.178 0.748 P
0.923 0.754 0.134 N
0.423 0.246 0.366 N
0.518 0.366 0.851 N
0.018 0.634 0.649 N
0.018 0.634 0.351 N
0.518 0.366 0.149 N
0.420 0.877 0.786 N
0.920 0.123 0.714 N
0.920 0.123 0.286 N
0.420 0.877 0.214 N
0.481 0.751 0.000 N
0.981 0.249 0.500 N
0.923 0.754 0.866 N
0.423 0.246 0.634 N
```

Properties
space group	No. 31
E_form (uncorrected)	-0.200	eV per atom
spin magnetization	1.74	μB per cell
uncorrected energy	-6.94	eV/atom

Material: Fe4CuNi7
Method: DFT, GGA-PBE
State: relaxed

```
Fe4CuNi7
1.0
0.454 -3.085 3.954
4.385 -1.407 4.825
-0.556 4.288 5.060
Fe Cu Ni
4 1 7
direct
0.492 0.670 0.334 Fe
0.508 0.330 0.666 Fe
0.752 0.825 0.671 Fe
0.248 0.175 0.329 Fe
0.000 0.000 0.000 Cu
0.750 0.501 0.002 Ni
0.250 0.499 0.998 Ni
0.005 0.332 0.663 Ni
0.995 0.668 0.337 Ni
0.252 0.832 0.662 Ni
0.500 0.000 0.000 Ni
0.748 0.168 0.338 Ni
```

Properties
space group	No. 2
spin magnetization	15.06	μB per cell
uncorrected energy	-6.55	eV/atom
energy above the most stable polymorph in this dataset	0.00	eV per formula unit
energy of formation from the pure elements	-0.18	eV per formula unit

Material: FeIrAu2
Method: DFT, GGA-PBE
State: relaxed

```
FeIrAu2
1.0
4.931 -0.019 0.025
4.115 2.718 0.025
0.847 0.253 4.711
Au Fe Ir
2 1 1
direct
0.002 0.002 0.997 Au
0.498 0.498 0.503 Au
0.750 0.750 0.750 Fe
0.250 0.250 0.250 Ir
```

Properties
space group	No. 12
spin magnetization	3.65	μB per cell
uncorrected energy	-5.68	eV/atom
energy above the most stable polymorph in this dataset	0.67	eV per formula unit
energy of formation from the pure elements	1.15	eV per formula unit

Material: KNd2W2N6
Method: DFT, GGA-PBE
State: relaxed

```
KNd2W2N6
1.0
6.650 -0.303 0.088
3.064 5.698 -0.174
0.243 -3.476 5.939
K Nd W N
1 2 2 6
direct
0.500 0.000 0.500 K
0.825 0.370 0.789 Nd
0.175 0.630 0.211 Nd
0.182 0.768 0.812 W
0.818 0.232 0.188 W
0.410 0.724 0.951 N
0.915 0.463 0.200 N
0.175 0.866 0.594 N
0.085 0.537 0.800 N
0.825 0.134 0.406 N
0.590 0.276 0.049 N
```

Properties
space group	No. 2
E_form (uncorrected)	-0.574	eV per atom
spin magnetization	1.02	μB per cell
uncorrected energy	-8.44	eV/atom

Material: Tb2PuTaN4
Method: DFT, GGA-PBE
State: relaxed

```
Tb2PuTaN4
1.0
3.362 0.000 0.000
0.000 5.831 0.123
0.000 -2.016 5.488
Tb Pu Ta N
2 1 1 4
direct
0.500 0.000 0.500 Tb
0.000 0.500 0.500 Tb
0.500 0.500 0.000 Pu
0.000 0.000 0.000 Ta
0.500 0.227 0.222 N
0.500 0.773 0.778 N
0.000 0.239 0.771 N
0.000 0.761 0.229 N
```

Properties
space group	No. 10
E_form (uncorrected)	-1.415	eV per atom
spin magnetization	4.65	μB per cell
uncorrected energy	-10.01	eV/atom

Material: Cd4AgRu
Method: DFT, GGA-PBE
State: relaxed

```
Cd4AgRu
1.0
-2.080 -5.133 0.009
0.169 -3.049 4.621
-4.671 -1.091 2.770
Cd Ag Ru
4 1 1
direct
0.874 0.375 0.375 Cd
0.375 0.375 0.874 Cd
0.375 0.874 0.375 Cd
0.375 0.375 0.375 Cd
0.000 0.000 0.000 Ag
0.750 0.750 0.750 Ru
```

Properties
space group	No. 216
spin magnetization	1.24	μB per cell
uncorrected energy	-2.17	eV/atom
energy of formation from the pure elements	2.77	eV per formula unit

Material: PuAlIn2
Method: DFT, GGA-PBE
State: relaxed

```
PuAlIn2
1.0
-1.359 4.777 -1.296
-4.955 1.340 -0.030
-1.812 3.211 3.573
In Al Pu
2 1 1
direct
0.750 0.750 0.750 In
0.250 0.250 0.250 In
0.500 0.500 0.500 Al
0.000 0.000 0.000 Pu
```

Properties
space group	No. 225
spin magnetization	5.44	μB per cell
uncorrected energy	-5.87	eV/atom
energy of formation from the pure elements	0.07	eV per formula unit

Material: ScCuGe
Method: DFT, GGA-PBE
State: relaxed

```
ScCuGe
1.0
-7.153 1.591 -1.851
-1.278 -3.117 -2.469
-1.240 -3.618 1.677
Sc Ge Cu
2 2 2
direct
0.030 0.618 0.541 Sc
0.568 0.928 0.386 Sc
0.396 0.375 0.662 Ge
0.837 0.081 0.810 Ge
0.805 0.436 0.132 Cu
0.313 0.764 0.968 Cu
```

Properties
space group	No. 160
spin magnetization	0.00	μB per cell
uncorrected energy	-5.40	eV/atom
energy of formation from the pure elements	-1.15	eV per formula unit

Material: KZnAg2
Method: DFT, GGA-PBE
State: relaxed

```
KZnAg2
1.0
-3.469 2.708 1.406
-4.040 -3.275 -3.660
-1.384 -4.796 5.820
K Zn Ag
2 2 4
direct
0.500 0.891 0.000 K
0.000 0.109 0.500 K
0.500 0.589 0.500 Zn
0.000 0.411 0.000 Zn
0.000 0.598 0.683 Ag
0.500 0.402 0.817 Ag
0.000 0.598 0.317 Ag
0.500 0.402 0.183 Ag
```

Properties
space group	No. 59
spin magnetization	0.00	μB per cell
uncorrected energy	-2.03	eV/atom
energy of formation from the pure elements	-0.03	eV per formula unit

Material: PrNi2P2
Method: DFT, GGA-PBE
State: relaxed

```
PrNi2P2
1.0
3.978 -0.003 0.000
0.003 3.978 0.000
-1.998 -1.995 4.789
Pr Ni P
1 2 2
direct
0.000 0.000 0.000 Pr
0.749 0.251 0.500 Ni
0.251 0.749 0.500 Ni
0.370 0.370 0.740 P
0.630 0.630 0.260 P
```

Properties
space group	No. 69
spin magnetization	0.00	μB per cell
uncorrected energy	-6.41	eV/atom
energy of formation from the pure elements	-4.87	eV per formula unit

Material: Zr5ZnPt
Method: DFT, GGA-PBE
State: relaxed

```
Zr5ZnPt
1.0
8.305 -0.346 -0.248
2.306 7.986 -0.248
2.900 2.088 4.217
Zr Zn Pt
10 2 2
direct
0.808 0.673 0.110 Zr
0.054 0.659 0.477 Zr
0.673 0.808 0.610 Zr
0.726 0.274 0.250 Zr
0.341 0.946 0.023 Zr
0.659 0.054 0.977 Zr
0.274 0.726 0.750 Zr
0.327 0.192 0.390 Zr
0.946 0.341 0.523 Zr
0.192 0.327 0.890 Zr
0.440 0.560 0.250 Zn
0.560 0.440 0.750 Zn
0.000 0.000 0.000 Pt
0.000 0.000 0.500 Pt
```

Properties
space group	No. 15
spin magnetization	0.00	μB per cell
uncorrected energy	-7.41	eV/atom
energy of formation from the pure elements	-1.80	eV per formula unit

Material: LiHfAl2Pd4
Method: DFT, GGA-PBE
State: relaxed

```
LiHfAl2Pd4
1.0
4.444 0.000 0.000
2.222 3.849 0.000
2.222 1.283 7.199
Li Hf Al Pd
1 1 2 4
direct
0.500 0.500 0.500 Li
0.000 0.000 0.000 Hf
0.753 0.753 0.740 Al
0.247 0.247 0.260 Al
0.378 0.378 0.865 Pd
0.875 0.875 0.375 Pd
0.125 0.125 0.625 Pd
0.622 0.622 0.135 Pd
```

Properties
space group	No. 166
spin magnetization	0.00	μB per cell
uncorrected energy	-5.80	eV/atom
energy of formation from the pure elements	-6.31	eV per formula unit

Material: Mn8Ir
Method: DFT, GGA-PBE
State: relaxed

```
Mn8Ir
1.0
-3.885 3.885 1.775
3.885 -3.885 1.775
3.885 3.885 -1.775
Mn Ir
8 1
direct
0.331 0.331 0.661 Mn
0.669 0.669 0.339 Mn
0.660 0.000 0.660 Mn
0.331 0.669 0.000 Mn
0.000 0.340 0.340 Mn
0.669 0.331 0.000 Mn
0.340 0.000 0.340 Mn
0.000 0.660 0.660 Mn
0.000 0.000 0.000 Ir
```

Properties
space group	No. 139
spin magnetization	3.77	μB per cell
uncorrected energy	-9.11	eV/atom
energy of formation from the pure elements	0.25	eV per formula unit

Material: Si3OsF
Method: DFT, GGA-PBE
State: relaxed

```
Si3OsF
1.0
4.592 0.000 0.000
0.000 4.592 0.000
0.000 0.000 4.592
Si Os F
3 1 1
direct
0.000 0.500 0.000 Si
0.000 0.000 0.500 Si
0.500 0.000 0.000 Si
0.000 0.000 0.000 Os
0.500 0.500 0.500 F
```

Properties
space group	No. 221
E_form (uncorrected)	-0.087	eV per atom
spin magnetization	0.00	μB per cell
uncorrected energy	-5.96	eV/atom
energy above the most stable polymorph in this dataset	0.00	eV per formula unit